Crystalline CrCd2Mo at its relaxed geometry, computed with PBE.

```
CrCd2Mo
1.0
-0.3343 -2.1552 -1.6445
1.6688 1.4767 -1.5797
7.2478 -4.0661 3.8557
Cd Cr Mo
2 1 1
Cartesian
0.0657 -0.0369 0.0350
3.5582 -1.9962 1.8929
2.4792 -1.3558 -0.6482
6.1031 -3.3889 1.2797
```

Output
The calculation puts the energy above the most stable polymorph in this dataset at 298.3 meV per atom. The calculation puts the calculated formation energy at 0.5979 eV per atom.